(1)
Entry from the Alexandria database: KGaN2O at its PBEsol-relaxed geometry (SCAN).

Lattice parameters (Å, degrees): 4.9585 4.9585 4.6032 90.00 90.00 90.00
Closest atoms and distances in Å follow each position.
Element x y z (fractional)
K  0.0000  0.0000  0.0000  2 O 2.30, 4 N 2.48
Ga  0.5000  0.5000  0.5000  8 N 3.38, 4 O 3.51
N  0.0000  0.5000  0.0000  2 K 2.48
N  0.5000  0.0000  0.0000  2 K 2.48
O  0.0000  0.0000  0.5000  2 K 2.30

- spin magnetization (μB per formula unit) = 6.0
- formation energy from raw total energies (eV/atom) = 1.82

---

(2)
Entry from the Alexandria database: KGaSN2 at its PBEsol-relaxed geometry (SCAN).

Lattice parameters (Å, degrees): 4.1449 4.1449 4.8449 90.00 90.00 90.00
Closest atoms and distances in Å follow each position.
Element x y z (fractional)
K  0.0000  0.0000  0.0000  4 S 2.93, 8 N 3.19
Ga  0.5000  0.5000  0.5000  4 N 2.07
S  0.5000  0.5000  0.0000  2 Ga 2.42
N  0.0000  0.5000  0.5000  2 Ga 2.07
N  0.5000  0.0000  0.5000  2 Ga 2.07

- spin magnetization (μB per formula unit) = 4.0
- formation energy from raw total energies (eV/atom) = 0.64